1.
## Dy5Y5Tm2 (PBE)

Data for Dy5Y5Tm2 after structural relaxation.

Unit cell a=15.034 b=5.013 c=11.212 alpha=90.00 beta=116.54 gamma=90.00
Space group C2/m (No. 12)
Unique sites:
Dy 0.000 0.000 0.000 x2
Dy 0.082 0.000 0.750 x4
Dy 0.167 0.000 0.500 x4
Y 0.000 0.500 0.500 x2
Y 0.166 0.500 0.000 x4
Y 0.249 0.000 0.250 x4
Tm 0.083 0.500 0.251 x4

mass density: 7.01 g/cm3
E: -5.3331 eV/atom
ΔH_f (0 K): 0.023 eV per atom


2.
## DyY3Tm6 (PBE)

Data for DyY3Tm6 after structural relaxation.

Unit cell a=10.951 b=18.807 c=6.108 alpha=90.00 beta=90.00 gamma=90.00
Space group Cmc2_1 (No. 36)
Unique sites:
Dy 0.000 0.210 0.000 x4
Y 0.000 0.392 0.914 x4
Y 0.171 0.108 0.305 x8
Tm 0.000 0.049 0.774 x4
Tm 0.000 0.285 0.485 x4
Tm 0.164 0.452 0.374 x8
Tm 0.248 0.211 0.710 x8

mass density: 7.62 g/cm3
E: -4.9397 eV/atom
ΔH_f (0 K): 0.143 eV per atom